(i)
Density functional theory data (PBE-GGA) for crystalline InSbTe2H at its relaxed geometry.

```
data_InSbTe2H
_cell_length_a 5.591
_cell_length_b 5.591
_cell_length_c 3.946
_cell_angle_alpha 90.00
_cell_angle_beta 90.00
_cell_angle_gamma 90.00
_symmetry_space_group_name_H-M 'P 4/m m m'
_symmetry_Int_Tables_number 123
_symmetry_space_group_name_Hall '-P 4 2'
loop_
_atom_site_label
_atom_site_fract_x
_atom_site_fract_y
_atom_site_fract_z
_atom_site_occupancy
In1 0.000 0.000 0.000 1
Sb1 0.500 0.500 0.000 1
Te1 0.000 0.500 0.500 1
H1 0.500 0.500 0.500 1
```

=====

(ii)
Density functional theory data (PBE-GGA) for crystalline InSbTe2H at its relaxed geometry.

```
data_InSbTe2H
_cell_length_a 5.841
_cell_length_b 5.841
_cell_length_c 5.675
_cell_angle_alpha 90.00
_cell_angle_beta 90.00
_cell_angle_gamma 90.00
_symmetry_space_group_name_H-M 'P 4/m m m'
_symmetry_Int_Tables_number 123
_symmetry_space_group_name_Hall '-P 4 2'
loop_
_atom_site_label
_atom_site_fract_x
_atom_site_fract_y
_atom_site_fract_z
_atom_site_occupancy
In1 0.000 0.000 0.000 1
Sb1 0.000 0.000 0.500 1
Te1 0.000 0.500 0.000 1
H1 0.500 0.500 0.500 1
```

=====

Most stable: (i) (next structure +65.0 kJ/mol of atoms)

=====

(i)
Density functional theory data (PBE-GGA) for crystalline Sc2In2H at its relaxed geometry.

```
data_Sc2In2H
_cell_length_a 6.212
_cell_length_b 6.212
_cell_length_c 5.155
_cell_angle_alpha 90.00
_cell_angle_beta 90.00
_cell_angle_gamma 90.00
_symmetry_space_group_name_H-M 'P 4/m b m'
_symmetry_Int_Tables_number 127
_symmetry_space_group_name_Hall '-P 4 2ab'
loop_
_atom_site_label
_atom_site_fract_x
_atom_site_fract_y
_atom_site_fract_z
_atom_site_occupancy
Sc1 0.167 0.333 0.000 1
In1 0.163 0.663 0.500 1
H1 0.000 0.000 0.000 1
```

=====

(ii)
Density functional theory data (PBE-GGA) for crystalline Sc2In2H at its relaxed geometry.

```
data_Sc2In2H
_cell_length_a 3.444
_cell_length_b 11.706
_cell_length_c 9.672
_cell_angle_alpha 90.00
_cell_angle_beta 90.00
_cell_angle_gamma 90.00
_symmetry_space_group_name_H-M 'C m c 21'
_symmetry_Int_Tables_number 36
_symmetry_space_group_name_Hall 'C 2c -2'
loop_
_atom_site_label
_atom_site_fract_x
_atom_site_fract_y
_atom_site_fract_z
_atom_site_occupancy
Sc1 0.000 0.038 0.000 1
Sc2 0.000 0.360 0.760 1
In1 0.000 0.236 0.492 1
In2 0.000 0.384 0.221 1
H1 0.000 0.089 0.192 1
```

=====

Most stable: (ii) (next structure +8.2 kJ/mol of atoms)

=====

(i)
Density functional theory data (PBE-GGA) for crystalline ScIn3H at its relaxed geometry.

```
data_ScIn3H
_cell_length_a 4.604
_cell_length_b 4.604
_cell_length_c 4.604
_cell_angle_alpha 90.00
_cell_angle_beta 90.00
_cell_angle_gamma 90.00
_symmetry_space_group_name_H-M 'P m -3 m'
_symmetry_Int_Tables_number 221
_symmetry_space_group_name_Hall '-P 4 2 3'
loop_
_atom_site_label
_atom_site_fract_x
_atom_site_fract_y
_atom_site_fract_z
_atom_site_occupancy
Sc1 0.000 0.000 0.000 1
In1 0.000 0.500 0.500 1
H1 0.500 0.500 0.500 1
```

=====

(ii)
Density functional theory data (PBE-GGA) for crystalline ScIn3H at its relaxed geometry.

```
data_ScIn3H
_cell_length_a 5.730
_cell_length_b 5.730
_cell_length_c 5.730
_cell_angle_alpha 90.00
_cell_angle_beta 90.00
_cell_angle_gamma 90.00
_symmetry_space_group_name_H-M 'P m -3 m'
_symmetry_Int_Tables_number 221
_symmetry_space_group_name_Hall '-P 4 2 3'
loop_
_atom_site_label
_atom_site_fract_x
_atom_site_fract_y
_atom_site_fract_z
_atom_site_occupancy
Sc1 0.000 0.000 0.000 1
In1 0.000 0.000 0.500 1
H1 0.500 0.500 0.500 1
```

=====

Most stable: (i) (next structure +89.1 kJ/mol of atoms)

=====

(i)
Density functional theory data (PBE-GGA) for crystalline ScInH2 at its relaxed geometry.

```
data_ScInH2
_cell_length_a 5.846
_cell_length_b 5.846
_cell_length_c 5.846
_cell_angle_alpha 90.00
_cell_angle_beta 90.00
_cell_angle_gamma 90.00
_symmetry_space_group_name_H-M 'F m -3 m'
_symmetry_Int_Tables_number 225
_symmetry_space_group_name_Hall '-F 4 2 3'
loop_
_atom_site_label
_atom_site_fract_x
_atom_site_fract_y
_atom_site_fract_z
_atom_site_occupancy
Sc1 0.000 0.000 0.000 1
In1 0.000 0.000 0.500 1
H1 0.250 0.250 0.250 1
```

=====

(ii)
Density functional theory data (PBE-GGA) for crystalline ScInH2 at its relaxed geometry.

```
data_ScInH2
_cell_length_a 4.696
_cell_length_b 4.696
_cell_length_c 10.294
_cell_angle_alpha 90.00
_cell_angle_beta 90.00
_cell_angle_gamma 90.00
_symmetry_space_group_name_H-M 'I -4 2 d'
_symmetry_Int_Tables_number 122
_symmetry_space_group_name_Hall 'I -4 2bw'
loop_
_atom_site_label
_atom_site_fract_x
_atom_site_fract_y
_atom_site_fract_z
_atom_site_occupancy
Sc1 0.000 0.000 0.000 1
In1 0.000 0.000 0.500 1
H1 0.148 0.250 0.125 1
```

=====

Most stable: (ii) (next structure +31.5 kJ/mol of atoms)

=====

(i)
Density functional theory data (PBE-GGA) for crystalline ScIn2SnH at its relaxed geometry.

```
data_ScIn2SnH
_cell_length_a 4.808
_cell_length_b 4.808
_cell_length_c 4.304
_cell_angle_alpha 90.00
_cell_angle_beta 90.00
_cell_angle_gamma 90.00
_symmetry_space_group_name_H-M 'P 4/m m m'
_symmetry_Int_Tables_number 123
_symmetry_space_group_name_Hall '-P 4 2'
loop_
_atom_site_label
_atom_site_fract_x
_atom_site_fract_y
_atom_site_fract_z
_atom_site_occupancy
Sc1 0.000 0.000 0.000 1
In1 0.000 0.500 0.500 1
Sn1 0.500 0.500 0.000 1
H1 0.000 0.000 0.500 1
```

=====

(ii)
Density functional theory data (PBE-GGA) for crystalline ScIn2SnH at its relaxed geometry.

```
data_ScIn2SnH
_cell_length_a 5.716
_cell_length_b 5.716
_cell_length_c 5.955
_cell_angle_alpha 90.00
_cell_angle_beta 90.00
_cell_angle_gamma 90.00
_symmetry_space_group_name_H-M 'P 4/m m m'
_symmetry_Int_Tables_number 123
_symmetry_space_group_name_Hall '-P 4 2'
loop_
_atom_site_label
_atom_site_fract_x
_atom_site_fract_y
_atom_site_fract_z
_atom_site_occupancy
Sc1 0.000 0.000 0.000 1
In1 0.000 0.500 0.500 1
Sn1 0.500 0.500 0.000 1
H1 0.500 0.500 0.500 1
```

=====

Most stable: (i) (next structure +86.8 kJ/mol of atoms)

=====

(i)
Density functional theory data (PBE-GGA) for crystalline Sc2TlInH at its relaxed geometry.

```
data_Sc2TlInH
_cell_length_a 4.472
_cell_length_b 4.472
_cell_length_c 4.642
_cell_angle_alpha 90.00
_cell_angle_beta 90.00
_cell_angle_gamma 90.00
_symmetry_space_group_name_H-M 'P 4/m m m'
_symmetry_Int_Tables_number 123
_symmetry_space_group_name_Hall '-P 4 2'
loop_
_atom_site_label
_atom_site_fract_x
_atom_site_fract_y
_atom_site_fract_z
_atom_site_occupancy
Sc1 0.000 0.500 0.000 1
Tl1 0.000 0.000 0.500 1
In1 0.500 0.500 0.500 1
H1 0.500 0.500 0.000 1
```

=====

(ii)
Density functional theory data (PBE-GGA) for crystalline Sc2TlInH at its relaxed geometry.

```
data_Sc2TlInH
_cell_length_a 5.607
_cell_length_b 5.607
_cell_length_c 3.708
_cell_angle_alpha 90.00
_cell_angle_beta 90.00
_cell_angle_gamma 90.00
_symmetry_space_group_name_H-M 'P 4/m m m'
_symmetry_Int_Tables_number 123
_symmetry_space_group_name_Hall '-P 4 2'
loop_
_atom_site_label
_atom_site_fract_x
_atom_site_fract_y
_atom_site_fract_z
_atom_site_occupancy
Sc1 0.000 0.500 0.000 1
Tl1 0.000 0.000 0.500 1
In1 0.500 0.500 0.000 1
H1 0.500 0.500 0.500 1
```

=====

Most stable: (i) (next structure +57.9 kJ/mol of atoms)